DFT (PBE) results for a relaxed BaTi2O crystal.

Lattice parameters (Å, degrees): 4.562 4.562 4.562 60.00 60.00 60.00
Element x y z (fractional)
Ti1 0.750 0.750 0.750
O1 0.000 0.000 0.000
Ti2 0.250 0.250 0.250
Ba1 0.500 0.500 0.500

E_tot = -19.53 eV per cell
Spin magnetization = 0.99 μB per formula unit
V = 16.79 Å³ per atom
Symmetry = Fm-3m



DFT (PBE) results for a relaxed BaTiO3 crystal.

Lattice parameters (Å, degrees): 4.116 4.116 5.013 90.00 90.00 90.00
Element x y z (fractional)
O1 0.000 0.500 0.500
O2 0.500 0.000 0.500
Ba1 0.000 0.000 0.000
Ti1 0.500 0.500 0.500
O3 0.000 0.000 0.500

E_tot = -31.10 eV per cell
Spin magnetization = 0.48 μB per formula unit
V = 16.99 Å³ per atom
Symmetry = P4/mmm



DFT (PBE) results for a relaxed BaTi2O crystal.

Lattice parameters (Å, degrees): 6.453 6.453 6.456 60.02 60.02 90.00
Element x y z (fractional)
Ba1 0.000 0.000 0.000
O1 0.250 0.750 0.500
Ti1 0.375 0.125 0.250
Ti2 0.375 0.625 0.750
Ti3 0.375 0.625 0.250
Ti4 0.875 0.625 0.750
Ba2 0.750 0.250 0.500
O2 0.500 0.500 0.000

E_tot = -52.34 eV per cell
Spin magnetization = 1.03 μB per formula unit
V = 23.77 Å³ per atom
Symmetry = Fd-3m